The following is a GGA-PBE calculation of a relaxed Dy2UMn2C4 crystal, from Alexandria via LeMat-Bulk.

Properties
- energy relative to the elements (eV/atom) = -0.114
- symmetry = C2/m, No. 12

abc: 6.5277 6.5277 6.0009
angles: 108.37 108.37 29.65
With the nearest neighbours (Å) after each atom.
Fractional coordinates of all 9 atoms:
Dy: 0.1370 0.1370 0.0491  5 C 2.54-2.66
Dy: 0.8630 0.8630 0.9509  5 C 2.54-2.66
U: 0.0000 0.0000 0.5000  4 C 2.35
Mn: 0.3174 0.3174 0.5042  4 C 1.97-2.05
Mn: 0.6826 0.6826 0.4958  4 C 1.97-2.05
C: 0.2208 0.2208 0.7050  3 Mn 1.97-2.05
C: 0.4673 0.4673 0.7458  1 Mn 1.97
C: 0.5327 0.5327 0.2542  1 Mn 1.97
C: 0.7792 0.7792 0.2950  3 Mn 1.97-2.05